(i)
Crystalline Pm5Dy2Ho12 at its relaxed geometry, computed with GGA-PBE.

a b c (Å): 7.9501 8.7056 9.4195
angles (deg): 90.03 94.82 111.27
Last column: nearest neighbours and their distance in Å.
Space group P-1 (No. 2)
One atom of each set of equivalent atoms:
Pm1 0.0000 0.0000 0.0000 [1 per cell]  4 Pm 3.56, 8 Ho 3.57-3.58
Pm2 0.1586 0.0524 0.3682 [2 per cell]  9 Ho 3.55-3.58, 1 Dy 3.56, 2 Pm 3.56-3.57
Pm3 0.2625 0.4213 0.9476 [2 per cell]  8 Ho 3.55-3.57, 2 Pm 3.56-3.57, 2 Dy 3.57
Dy1 0.4213 0.4738 0.3172 [2 per cell]  1 Dy 3.53, 8 Ho 3.54-3.57, 3 Pm 3.56-3.57
Ho1 0.0535 0.6839 0.7874 [2 per cell]  7 Ho 3.53-3.59, 4 Pm 3.55-3.57, 1 Dy 3.57
Ho2 0.1049 0.3693 0.5789 [2 per cell]  7 Ho 3.53-3.57, 2 Dy 3.55-3.56, 3 Pm 3.56-3.57
Ho3 0.2124 0.7366 0.1591 [2 per cell]  7 Ho 3.52-3.59, 1 Dy 3.54, 4 Pm 3.55-3.57
Ho4 0.3188 0.1062 0.7359 [2 per cell]  7 Ho 3.52-3.57, 1 Dy 3.55, 4 Pm 3.56-3.58
Ho5 0.3675 0.7886 0.5269 [2 per cell]  8 Ho 3.53-3.58, 2 Dy 3.54-3.55, 2 Pm 3.55-3.56
Ho6 0.4757 0.1580 0.1056 [2 per cell]  7 Ho 3.54-3.57, 4 Pm 3.56-3.57, 1 Dy 3.57

Output
Theoretical density: 8.3 g/cm3

***

(ii)
Crystalline Pm5Dy2Ho12 at its relaxed geometry, computed with GGA-PBE.

a b c (Å): 15.6415 10.1830 7.8098
angles (deg): 90.00 90.36 90.00
Last column: nearest neighbours and their distance in Å.
Space group C2/m (No. 12)
One atom of each set of equivalent atoms:
Pm1 0.0000 0.0000 0.0000 [2 per cell]  4 Ho 3.37
Pm2 0.1483 0.5000 0.5777 [4 per cell]  9 Ho 3.28-3.56, 2 Dy 3.57
Pm3 0.2446 0.0000 0.9871 [4 per cell]  8 Ho 3.23-3.62
Dy1 0.0000 0.2403 0.5000 [4 per cell]  8 Ho 3.45-3.60, 2 Pm 3.57
Ho1 0.0509 0.5000 0.2052 [4 per cell]  3 Pm 3.28-3.56, 7 Ho 3.43-3.58, 2 Dy 3.60
Ho2 0.1058 0.2760 0.8915 [8 per cell]  4 Pm 3.37-3.63, 6 Ho 3.43-3.73, 1 Dy 3.49
Ho3 0.1503 0.0000 0.6178 [4 per cell]  2 Pm 3.23-3.51, 2 Dy 3.51, 4 Ho 3.54-3.60
Ho4 0.1952 0.2361 0.2977 [8 per cell]  1 Dy 3.45, 6 Ho 3.46-3.67, 4 Pm 3.51-3.62

Output
Theoretical density: 8.1 g/cm3

***

What is the least stable structure shown above? It is (ii).